Entry 1
# BaCu2Re, relaxed, DFT PBE
data_BaCu2Re
_symmetry_space_group_name_H-M 'P 1'
_symmetry_Int_Tables_number 1
_symmetry_space_group_name_Hall 'P 1'
_cell_length_a 5.041
_cell_length_b 7.265
_cell_length_c 2.941
_cell_angle_alpha 66.21
_cell_angle_beta 89.94
_cell_angle_gamma 127.08
loop_
_atom_site_label
_atom_site_fract_x
_atom_site_fract_y
_atom_site_fract_z
_atom_site_occupancy
Ba1 0.500 0.000 0.500 1
Cu1 0.000 0.000 0.000 1
Cu2 0.000 0.500 0.500 1
Re1 0.500 0.500 0.000 1
# Size of the total moment   0.5 μB/cell
# Symmetry   Cmmm (65)
# Density of states at the Fermi level   3.8 states/eV per cell
# Calculated volume   18.520 A^3/atom
# Mass density   10.10 g/cm³



Entry 2
# BaCu2Re, relaxed, DFT PBE
data_BaCu2Re
_symmetry_space_group_name_H-M 'P 1'
_symmetry_Int_Tables_number 1
_symmetry_space_group_name_Hall 'P 1'
_cell_length_a 5.855
_cell_length_b 5.855
_cell_length_c 5.855
_cell_angle_alpha 151.19
_cell_angle_beta 127.85
_cell_angle_gamma 60.67
loop_
_atom_site_label
_atom_site_fract_x
_atom_site_fract_y
_atom_site_fract_z
_atom_site_occupancy
Ba1 0.244 0.744 0.500 1
Cu1 0.965 0.965 0.000 1
Cu2 0.755 0.255 0.500 1
Re1 0.535 0.535 0.000 1
# Size of the total moment   0.0 μB/cell
# Symmetry   Imm2 (44)
# Density of states at the Fermi level   3.3 states/eV per cell
# Calculated volume   18.946 A^3/atom
# Mass density   9.87 g/cm³



Entry 3
# BaCu2Re, relaxed, DFT PBE
data_BaCu2Re
_symmetry_space_group_name_H-M 'P 1'
_symmetry_Int_Tables_number 1
_symmetry_space_group_name_Hall 'P 1'
_cell_length_a 5.479
_cell_length_b 5.479
_cell_length_c 5.479
_cell_angle_alpha 135.92
_cell_angle_beta 135.92
_cell_angle_gamma 64.11
loop_
_atom_site_label
_atom_site_fract_x
_atom_site_fract_y
_atom_site_fract_z
_atom_site_occupancy
Ba1 0.750 0.250 0.500 1
Cu1 0.000 0.000 0.000 1
Cu2 0.250 0.750 0.500 1
Re1 0.500 0.500 0.000 1
# Size of the total moment   1.4 μB/cell
# Symmetry   I-4m2 (119)
# Density of states at the Fermi level   3.9 states/eV per cell
# Calculated volume   19.630 A^3/atom
# Mass density   9.53 g/cm³



Which one is most stable, and which one is least stable? entry 1 is the most stable of them, while entry 3 is the least stable.



Entry 1
# BaCuRe3, relaxed, DFT PBE
data_BaCuRe3
_symmetry_space_group_name_H-M 'P 1'
_symmetry_Int_Tables_number 1
_symmetry_space_group_name_Hall 'P 1'
_cell_length_a 4.721
_cell_length_b 4.721
_cell_length_c 4.721
_cell_angle_alpha 90.00
_cell_angle_beta 90.00
_cell_angle_gamma 90.00
loop_
_atom_site_label
_atom_site_fract_x
_atom_site_fract_y
_atom_site_fract_z
_atom_site_occupancy
Re1 0.000 0.500 0.000 1
Re2 0.000 0.000 0.500 1
Re3 0.500 0.000 0.000 1
Ba1 0.500 0.500 0.500 1
Cu1 0.000 0.000 0.000 1
# Size of the total moment   1.9 μB/cell
# Symmetry   Pm-3m (221)
# Density of states at the Fermi level   9.3 states/eV per cell
# Calculated volume   21.041 A^3/atom
# Mass density   11.99 g/cm³



Entry 2
# BaCuRe3, relaxed, DFT PBE
data_BaCuRe3
_symmetry_space_group_name_H-M 'P 1'
_symmetry_Int_Tables_number 1
_symmetry_space_group_name_Hall 'P 1'
_cell_length_a 4.990
_cell_length_b 4.990
_cell_length_c 4.990
_cell_angle_alpha 90.00
_cell_angle_beta 90.00
_cell_angle_gamma 90.00
loop_
_atom_site_label
_atom_site_fract_x
_atom_site_fract_y
_atom_site_fract_z
_atom_site_occupancy
Re1 0.000 0.500 0.000 1
Re2 0.000 0.000 0.500 1
Re3 0.500 0.000 0.000 1
Ba1 0.000 0.000 0.000 1
Cu1 0.500 0.500 0.500 1
# Size of the total moment   3.7 μB/cell
# Symmetry   Pm-3m (221)
# Density of states at the Fermi level   7.4 states/eV per cell
# Calculated volume   24.855 A^3/atom
# Mass density   10.15 g/cm³



Which one is most stable, and which one is least stable? entry 1 is the most stable of them, while entry 2 is the least stable.